An optimized crystal structure of YBeAu3, computed with GGA-PBE.

Summary:
The total magnetization is 0.000 μB/f.u. The energy relative to the elements comes out at -0.1975 eV per atom. The value obtained for the distance to the lowest polymorph of the same formula is 1.85 eV per formula unit.

Lattice parameters (Å, degrees): 3.9489 3.9489 16.6524 90.00 90.00 120.00
Positions (direct):
1 Y 0.0000 0.0000 0.0000
2 Y 0.0000 0.0000 0.5000
3 Be 0.3333 0.6667 0.7500
4 Be 0.6667 0.3333 0.2500
5 Au 0.0000 0.0000 0.2500
6 Au 0.0000 0.0000 0.7500
7 Au 0.3333 0.6667 0.8883
8 Au 0.3333 0.6667 0.6117
9 Au 0.6667 0.3333 0.3883
10 Au 0.6667 0.3333 0.1117